Computed, not measured: a relaxed structure of Pt2WO2 at the GGA+U level of DFT.

abc: 7.257 7.257 2.914
angles: 90.00 90.00 90.00
Site moments in Bohr magnetons follow the coordinates.
Atoms (fractional coordinates):
1 O 0.738 0.762 0.500  0.01
2 O 0.262 0.238 0.500  0.01
3 O 0.762 0.262 0.500  0.01
4 O 0.238 0.738 0.500  0.01
5 Pt 0.124 0.376 0.000  -0.04
6 Pt 0.624 0.124 0.000  -0.05
7 Pt 0.376 0.876 0.000  -0.05
8 Pt 0.876 0.624 0.000  -0.04
9 W 0.000 0.000 0.000  2.95
10 W 0.500 0.500 0.000  2.95

Results
ΔE to the lowest computed polymorph ... 1.23 eV per formula unit